Entry 1:
Crystalline CuTcAs2Br at its relaxed geometry. Source: the Alexandria database, functional PBE.

The structure in extended XYZ format:
```
5
Lattice="-4.142 0.087 -2.216 0.198 -4.661 -0.552 -2.596 -0.682 4.825" Properties=species:S:1:pos:R:3 pbc="T T T"
As 0.099 -2.331 -0.276
As -2.071 0.043 -1.108
Cu -3.270 -2.628 1.028
Tc 0.000 0.000 0.000
Br -1.298 -0.341 2.413
```

Properties
The calculation puts the uncorrected formation energy at 643 meV per atom. For the total energy, the calculation gives -4.444 eV/atom. The value obtained for the density of states at the Fermi level is 5.261 states/eV/cell. The crystal system is tetragonal.

=====

Entry 2:
Crystalline GeBPt2S at its relaxed geometry. Source: the Alexandria database, functional PBE.

The structure in extended XYZ format:
```
5
Lattice="-3.088 -3.231 -0.151 3.171 -2.911 -2.535 1.551 -1.663 3.851" Properties=species:S:1:pos:R:3 pbc="T T T"
Ge 1.586 -1.456 -1.267
B 0.818 -3.903 0.582
S 0.000 0.000 0.000
Pt 0.776 -0.831 1.925
Pt -1.544 -1.616 -0.076
```

Properties
The calculation puts the uncorrected formation energy at 1262 meV per atom. For the total energy, the calculation gives -4.239 eV/atom. The value obtained for the density of states at the Fermi level is 3.393 states/eV/cell. The crystal system is tetragonal.

=====

Entry 3:
Crystalline SrAc2TmSe4 at its relaxed geometry. Source: the Alexandria database, functional PBE.

The structure in extended XYZ format:
```
8
Lattice="-0.163 -0.945 4.160 7.191 -1.870 -0.143 -0.536 7.493 1.681" Properties=species:S:1:pos:R:3 pbc="T T T"
Sr 0.000 0.000 0.000
Ac -0.350 3.274 2.920
Ac 3.328 2.812 0.769
Tm 3.514 -1.407 2.008
Se 1.647 0.776 2.431
Se 4.845 3.903 3.267
Se 1.534 5.323 1.269
Se 5.121 0.301 0.269
```

Properties
The calculation puts the uncorrected formation energy at -1820 meV per atom. For the total energy, the calculation gives -5.358 eV/atom. The value obtained for the density of states at the Fermi level is 4.207 states/eV/cell. The crystal system is monoclinic.

=====

Entry 4:
Crystalline Dy2TmAg at its relaxed geometry. Source: the Alexandria database, functional PBE.

The structure in extended XYZ format:
```
4
Lattice="-0.162 0.304 -3.528 -0.268 -3.522 -0.291 -8.781 0.630 0.458" Properties=species:S:1:pos:R:3 pbc="T T T"
Tm -4.605 -1.294 -1.681
Ag -0.215 -1.609 -1.910
Dy -6.865 0.492 0.358
Dy -1.916 0.137 0.100
```

Properties
As for the formation energy from the elements: -0.127 eV per atom. For the total energy, the calculation gives -4.259 eV/atom. The value obtained for the density of states at the Fermi level is 4.731 states/eV/cell. The crystal system is tetragonal.

=====

Entry 5:
Crystalline Ho6Co2Ag at its relaxed geometry. Source: the Alexandria database, functional PBE.

The structure in extended XYZ format:
```
18
Lattice="8.273 0.029 0.031 -3.107 7.667 -0.031 -2.742 -3.742 6.850" Properties=species:S:1:pos:R:3 pbc="T T T"
Ho -0.105 2.397 5.578
Ho 2.529 1.558 1.272
Ho -2.259 -0.811 5.578
Ho 4.682 4.766 1.272
Ho 2.570 3.857 3.917
Ho -0.146 0.098 2.933
Ho -3.410 2.289 6.739
Ho 5.834 1.666 0.111
Ho 2.727 0.399 4.688
Ho -0.303 3.556 2.162
Ho -2.443 4.992 4.657
Ho 4.867 -1.037 2.193
Co 0.509 -0.341 6.072
Co 1.915 4.296 0.778
Co 3.442 -2.310 4.283
Co 2.089 -1.402 2.599
Ag -2.925 1.963 3.410
Ag 0.000 0.000 0.000
```

Properties
As for the formation energy from the elements: -0.212 eV per atom. For the total energy, the calculation gives -5.160 eV/atom. The value obtained for the density of states at the Fermi level is 19.344 states/eV/cell. The crystal system is orthorhombic.

=====

Entry 6:
Crystalline SrSe3O at its relaxed geometry. Source: the Alexandria database, functional PBE.

The structure in extended XYZ format:
```
5
Lattice="-4.908 -3.259 1.361 1.768 -0.251 5.777 -3.057 5.087 1.157" Properties=species:S:1:pos:R:3 pbc="T T T"
Sr 0.000 0.000 0.000
O -3.098 0.789 4.147
Se 0.884 -0.126 2.888
Se -1.528 2.544 0.578
Se -2.454 -1.629 0.680
```

Properties
The calculation puts the uncorrected formation energy at 893 meV per atom. For the total energy, the calculation gives -2.526 eV/atom. The value obtained for the density of states at the Fermi level is 15.008 states/eV/cell. The crystal system is cubic.